Record 1
The following is a DFT calculation (GGA-PBE) of YMg7Pb4 after structural relaxation.

abc: 12.265 5.843 10.949
angles: 90.00 122.69 90.00
Space group C2/m (No. 12)
Inequivalent atoms, fractional coordinates:
Y (0.000, 0.000, 0.000)
Mg (0.000, 0.500, 0.000)
Mg (0.101, 0.000, 0.440)
Mg (0.192, 0.500, 0.642)
Mg (0.193, 0.500, 0.911)
Pb (0.090, 0.500, 0.318)
Pb (0.191, 0.000, 0.774)

## Properties
- Energy of formation: 0.0971 eV/atom
- Energy: -2.608 eV per atom

=====

Record 2
The following is a DFT calculation (GGA-PBE) of YMg2Pb3 after structural relaxation.

abc: 12.463 9.938 6.164
angles: 90.00 90.00 90.00
Space group Cmcm (No. 63)
Inequivalent atoms, fractional coordinates:
Y (0.000, 0.207, 0.250)
Mg (0.126, 0.500, 0.000)
Pb (0.000, 0.292, 0.750)
Pb (0.164, 0.052, 0.750)

## Properties
- Energy of formation: 0.0055 eV/atom
- Energy: -3.458 eV per atom
- Energy above the most stable polymorph in this dataset: 248 meV/atom

=====

Record 3
The following is a DFT calculation (GGA-PBE) of YbMgPb after structural relaxation.

abc: 8.7551 8.7551 3.7184
angles: 90.00 90.00 120.00
Space group P-62m (No. 189)
Inequivalent atoms, fractional coordinates:
Yb (0.0000, 0.3690, 0.0000)
Mg (0.0000, 0.0000, 0.0000)
Mg (0.3333, 0.6667, 0.5000)
Pb (0.0000, 0.7040, 0.5000)

## Properties
- Energy of formation: -0.3015 eV/atom
- Energy: -2.578 eV per atom

=====

Record 4
The following is a DFT calculation (GGA-PBE) of Mg3Zn2Pb after structural relaxation.

abc: 3.406 3.406 10.778
angles: 90.00 90.00 90.00
Space group P4/mmm (No. 123)
Inequivalent atoms, fractional coordinates:
Mg (0.000, 0.000, 0.000)
Mg (0.000, 0.000, 0.290)
Zn (0.500, 0.500, 0.142)
Pb (0.500, 0.500, 0.500)

## Properties
- Energy of formation: -0.0647 eV/atom
- Energy: -1.905 eV per atom